# WN2ClF

WN2ClF after structural relaxation (PBEsol, the Alexandria database).

Lattice parameters (Å, degrees): 3.940 3.940 4.045 90.00 90.00 90.00
Space group P4/mmm (No. 123)
Inequivalent atoms, fractional coordinates:
W 0.000 0.000 0.000 (multiplicity 1)
N 0.000 0.500 0.000 (multiplicity 2)
Cl 0.500 0.500 0.500 (multiplicity 1)
F 0.000 0.000 0.500 (multiplicity 1)

Values from the calculation:
Density ... 7.04 g/cm³
Fermi-level density of states ... 0.53 states/eV/atom
Formation energy without anion corrections ... -0.05 eV/atom
Size of the total moment ... 0.0 μB per formula unit

***

# YN2ClF

YN2ClF after structural relaxation (PBEsol, the Alexandria database).

Lattice parameters (Å, degrees): 3.876 3.876 4.060 90.00 90.00 90.00
Space group P4/mmm (No. 123)
Inequivalent atoms, fractional coordinates:
Y 0.000 0.000 0.000 (multiplicity 1)
N 0.000 0.500 0.500 (multiplicity 2)
Cl 0.500 0.500 0.500 (multiplicity 1)
F 0.500 0.500 0.000 (multiplicity 1)

Values from the calculation:
Density ... 4.66 g/cm³
Fermi-level density of states ... 0.32 states/eV/atom
Formation energy without anion corrections ... 0.19 eV/atom
Size of the total moment ... 0.0 μB per formula unit

***

# Na6S2ClO8F

Na6S2ClO8F after structural relaxation (PBEsol, the Alexandria database).

Lattice parameters (Å, degrees): 10.063 10.063 10.063 90.00 90.00 90.00
Space group Fm-3m (No. 225)
Inequivalent atoms, fractional coordinates:
Na 0.000 0.000 0.223 (multiplicity 24)
S 0.250 0.250 0.250 (multiplicity 8)
Cl 0.000 0.000 0.500 (multiplicity 4)
O 0.165 0.165 0.165 (multiplicity 32)
F 0.000 0.000 0.000 (multiplicity 4)

Values from the calculation:
Density ... 2.51 g/cm³
Fermi-level density of states ... 0.00 states/eV/atom
Formation energy without anion corrections ... -1.94 eV/atom
Size of the total moment ... 0.0 μB per formula unit

***

# NaSCl2F

NaSCl2F after structural relaxation (PBEsol, the Alexandria database).

Lattice parameters (Å, degrees): 4.981 4.981 5.608 90.00 90.00 90.00
Space group P4/mmm (No. 123)
Inequivalent atoms, fractional coordinates:
Na 0.000 0.000 0.000 (multiplicity 1)
S 0.000 0.000 0.500 (multiplicity 1)
Cl 0.000 0.500 0.000 (multiplicity 2)
F 0.500 0.500 0.500 (multiplicity 1)

Values from the calculation:
Density ... 1.73 g/cm³
Fermi-level density of states ... 1.76 states/eV/atom
Formation energy without anion corrections ... 0.29 eV/atom
Size of the total moment ... 4.0 μB per formula unit

***

# NaTl2ClF

NaTl2ClF after structural relaxation (PBEsol, the Alexandria database).

Lattice parameters (Å, degrees): 5.538 5.538 5.991 90.00 90.00 90.00
Space group P4/mmm (No. 123)
Inequivalent atoms, fractional coordinates:
Na 0.000 0.000 0.000 (multiplicity 1)
Tl 0.000 0.500 0.500 (multiplicity 2)
Cl 0.500 0.500 0.500 (multiplicity 1)
F 0.500 0.500 0.000 (multiplicity 1)

Values from the calculation:
Density ... 4.39 g/cm³
Fermi-level density of states ... 0.28 states/eV/atom
Formation energy without anion corrections ... -0.46 eV/atom
Size of the total moment ... 0.0 μB per formula unit

***

# NbClF8

NbClF8 after structural relaxation (PBEsol, the Alexandria database).

Lattice parameters (Å, degrees): 9.986 5.945 10.566 90.00 90.00 90.00
Space group Pcca (No. 54)
Inequivalent atoms, fractional coordinates:
Nb 0.000 0.115 0.250 (multiplicity 4)
Cl 0.250 0.500 0.051 (multiplicity 4)
F 0.086 0.152 0.409 (multiplicity 8)
F 0.121 0.104 0.692 (multiplicity 8)
F 0.124 0.362 0.191 (multiplicity 8)
F 0.153 0.385 0.947 (multiplicity 8)

Values from the calculation:
Density ... 2.97 g/cm³
Fermi-level density of states ... 0.00 states/eV/atom
Formation energy without anion corrections ... -2.08 eV/atom
Size of the total moment ... 0.0 μB per formula unit

***

# Nb2ClF

Nb2ClF after structural relaxation (PBEsol, the Alexandria database).

Lattice parameters (Å, degrees): 6.040 6.040 6.040 90.00 90.00 90.00
Space group Fm-3m (No. 225)
Inequivalent atoms, fractional coordinates:
Nb 0.250 0.250 0.250 (multiplicity 8)
Cl 0.000 0.000 0.000 (multiplicity 4)
F 0.000 0.000 0.500 (multiplicity 4)

Values from the calculation:
Density ... 7.24 g/cm³
Fermi-level density of states ... 1.53 states/eV/atom
Formation energy without anion corrections ... -0.04 eV/atom
Size of the total moment ... 0.0 μB per formula unit

***

# NiClF2

NiClF2 after structural relaxation (PBEsol, the Alexandria database).

Lattice parameters (Å, degrees): 2.6974 2.6974 27.7077 90.00 90.00 120.00
Space group R-3m (No. 166, hexagonal axes)
Inequivalent atoms, fractional coordinates:
Ni 0.0000 0.0000 0.0000 (multiplicity 3)
Cl 0.0000 0.0000 0.5000 (multiplicity 3)
F 0.0000 0.0000 0.0613 (multiplicity 6)

Values from the calculation:
Density ... 3.77 g/cm³
Fermi-level density of states ... 1.05 states/eV/atom
Formation energy without anion corrections ... -0.55 eV/atom
Size of the total moment ... 1.9 μB per formula unit

***

# NiPCl2F

NiPCl2F after structural relaxation (PBEsol, the Alexandria database).

Lattice parameters (Å, degrees): 4.416 4.416 4.324 90.00 90.00 90.00
Space group P4/mmm (No. 123)
Inequivalent atoms, fractional coordinates:
Ni 0.000 0.000 0.000 (multiplicity 1)
P 0.000 0.000 0.500 (multiplicity 1)
Cl 0.000 0.500 0.000 (multiplicity 2)
F 0.500 0.500 0.500 (multiplicity 1)

Values from the calculation:
Density ... 3.54 g/cm³
Fermi-level density of states ... 0.80 states/eV/atom
Formation energy without anion corrections ... 0.04 eV/atom
Size of the total moment ... 0.0 μB per formula unit

***

# PCl2OF

PCl2OF after structural relaxation (PBEsol, the Alexandria database).

Lattice parameters (Å, degrees): 9.776 5.567 9.464 90.00 116.76 90.00
Space group P2_1/c (No. 14)
Inequivalent atoms, fractional coordinates:
P 0.234 0.125 0.054 (multiplicity 4)
Cl 0.201 0.602 0.381 (multiplicity 4)
Cl 0.427 0.203 0.601 (multiplicity 4)
O 0.227 0.020 0.193 (multiplicity 4)
F 0.111 0.178 0.469 (multiplicity 4)

Values from the calculation:
Density ... 1.98 g/cm³
Fermi-level density of states ... 0.00 states/eV/atom
Formation energy without anion corrections ... -1.52 eV/atom
Size of the total moment ... 0.0 μB per formula unit

***

# Pb2ClOF

Pb2ClOF after structural relaxation (PBEsol, the Alexandria database).

Lattice parameters (Å, degrees): 5.714 12.423 5.746 90.00 90.00 90.00
Space group Cmme (No. 67)
Inequivalent atoms, fractional coordinates:
Pb 0.000 0.105 0.221 (multiplicity 8)
Cl 0.000 0.250 0.786 (multiplicity 4)
O 0.250 0.000 0.000 (multiplicity 4)
F 0.250 0.000 0.500 (multiplicity 4)

Values from the calculation:
Density ... 7.90 g/cm³
Fermi-level density of states ... 0.00 states/eV/atom
Formation energy without anion corrections ... -1.56 eV/atom
Size of the total moment ... 0.0 μB per formula unit

***

# TeCl2OF

TeCl2OF after structural relaxation (PBEsol, the Alexandria database).

Lattice parameters (Å, degrees): 5.184 5.184 4.011 90.00 90.00 90.00
Space group P4/mmm (No. 123)
Inequivalent atoms, fractional coordinates:
Te 0.000 0.000 0.000 (multiplicity 1)
Cl 0.000 0.500 0.500 (multiplicity 2)
O 0.500 0.500 0.000 (multiplicity 1)
F 0.000 0.000 0.500 (multiplicity 1)

Values from the calculation:
Density ... 3.60 g/cm³
Fermi-level density of states ... 1.06 states/eV/atom
Formation energy without anion corrections ... 0.52 eV/atom
Size of the total moment ... 2.0 μB per formula unit

***

# OsClF2

OsClF2 after structural relaxation (PBEsol, the Alexandria database).

Lattice parameters (Å, degrees): 3.863 3.863 14.461 90.00 90.00 90.00
Space group I-42d (No. 122)
Inequivalent atoms, fractional coordinates:
Os 0.000 0.000 0.000 (multiplicity 4)
Cl 0.000 0.000 0.500 (multiplicity 4)
F 0.122 0.250 0.125 (multiplicity 8)

Values from the calculation:
Density ... 8.12 g/cm³
Fermi-level density of states ... 1.16 states/eV/atom
Formation energy without anion corrections ... 0.07 eV/atom
Size of the total moment ... 0.8 μB per formula unit